Record 1
Compound: CeMgPa
Source: Alexandria
Functional: PBE
Structure: relaxed

Cell lengths 8.1875, 8.1875, 8.1875 Å; angles 158.39, 158.39, 30.75 degrees
Fractional coordinates of all 3 atoms:
Ce  0.0000  0.0000  0.0000
Mg  0.3263  0.3263  0.0000
Pa  0.6608  0.6608  0.0000

Calculated values
ΔE_f: 0.1061 eV/atom
E above lowest polymorph: 89.3 meV/atom
Symmetry: I4mm
M_tot: 0.000 μB/cell
D(E_F): 6.5 states/eV per cell

---

Record 2
Compound: ZrCu6
Source: Alexandria
Functional: PBE
Structure: relaxed

Cell lengths 7.8617, 4.8661, 9.9718 Å; angles 90.00, 90.00, 90.00 degrees
Fractional coordinates of all 28 atoms:
Zr  0.2433  0.2500  0.0740
Zr  0.2567  0.7500  0.5740
Zr  0.7433  0.2500  0.4260
Zr  0.7567  0.7500  0.9260
Cu  0.0537  0.7500  0.0854
Cu  0.0643  0.0065  0.3070
Cu  0.0643  0.4935  0.3070
Cu  0.0974  0.2500  0.5162
Cu  0.1432  0.7500  0.8534
Cu  0.1873  0.2500  0.7539
Cu  0.3127  0.7500  0.2539
Cu  0.3568  0.2500  0.3534
Cu  0.4026  0.7500  0.0162
Cu  0.4357  0.5065  0.8070
Cu  0.4357  0.9935  0.8070
Cu  0.4463  0.2500  0.5854
Cu  0.5537  0.7500  0.4146
Cu  0.5643  0.0065  0.1930
Cu  0.5643  0.4935  0.1930
Cu  0.5974  0.2500  0.9838
Cu  0.6432  0.7500  0.6466
Cu  0.6873  0.2500  0.7461
Cu  0.8127  0.7500  0.2461
Cu  0.8568  0.2500  0.1466
Cu  0.9026  0.7500  0.4838
Cu  0.9357  0.5065  0.6930
Cu  0.9357  0.9935  0.6930
Cu  0.9463  0.2500  0.9146

Calculated values
ΔE_f: -0.0562 eV/atom
E above lowest polymorph: 0.0 meV/atom
Symmetry: Pnma
M_tot: 0.000 μB/cell
D(E_F): 14.8 states/eV per cell

---

Record 3
Compound: Ac3Mg
Source: Alexandria
Functional: PBE
Structure: relaxed

Cell lengths 4.0716, 6.1929, 6.3681 Å; angles 90.00, 90.00, 90.00 degrees
Fractional coordinates of all 4 atoms:
Ac  0.0000  0.0000  0.0000
Ac  0.0000  0.5000  0.4118
Ac  0.5000  0.0000  0.5189
Mg  0.5000  0.5000  0.9003

Calculated values
ΔE_f: 0.0503 eV/atom
E above lowest polymorph: 88.8 meV/atom
Symmetry: Pmm2
M_tot: 0.000 μB/cell
D(E_F): 5.3 states/eV per cell

---

Record 4
Compound: Cs3IrCl7
Source: Alexandria
Functional: PBE
Structure: relaxed

Cell lengths 10.1840, 10.1840, 7.2929 Å; angles 90.00, 90.00, 90.00 degrees
Fractional coordinates of all 22 atoms:
Cs  0.0000  0.0000  0.0000
Cs  0.1809  0.3191  0.5000
Cs  0.3191  0.8191  0.5000
Cs  0.5000  0.5000  0.0000
Cs  0.6809  0.1809  0.5000
Cs  0.8191  0.6809  0.5000
Ir  0.0000  0.5000  0.0000
Ir  0.5000  0.0000  0.0000
Cl  0.0000  0.0000  0.5000
Cl  0.1145  0.6145  0.2277
Cl  0.1145  0.6145  0.7723
Cl  0.1630  0.3370  0.0000
Cl  0.3370  0.8370  0.0000
Cl  0.3855  0.1145  0.2277
Cl  0.3855  0.1145  0.7723
Cl  0.5000  0.5000  0.5000
Cl  0.6145  0.8855  0.2277
Cl  0.6145  0.8855  0.7723
Cl  0.6630  0.1630  0.0000
Cl  0.8370  0.6630  0.0000
Cl  0.8855  0.3855  0.2277
Cl  0.8855  0.3855  0.7723

Calculated values
ΔE_f (raw): -1.33 eV/atom
Symmetry: P4/mbm
M_tot: 2.363 μB/cell
D(E_F): 25.9 states/eV per cell

---

Record 5
Compound: VNiAs
Source: Alexandria
Functional: PBE
Structure: relaxed

Cell lengths 6.1182, 3.6040, 7.1368 Å; angles 90.00, 90.00, 90.00 degrees
Fractional coordinates of all 12 atoms:
V  0.0270  0.2500  0.1568
V  0.4730  0.7500  0.6568
V  0.5270  0.2500  0.3432
V  0.9730  0.7500  0.8432
Ni  0.1470  0.2500  0.5630
Ni  0.3530  0.7500  0.0630
Ni  0.6470  0.2500  0.9370
Ni  0.8530  0.7500  0.4370
As  0.2300  0.7500  0.3679
As  0.2700  0.2500  0.8679
As  0.7300  0.7500  0.1321
As  0.7700  0.2500  0.6321

Calculated values
ΔE_f: -0.3967 eV/atom
Symmetry: Pnma
M_tot: 0.000 μB/cell
D(E_F): 4.4 states/eV per cell

---

Record 6
Compound: Ti3HCl7
Source: Alexandria
Functional: PBE
Structure: relaxed

Cell lengths 6.7196, 6.7196, 6.4561 Å; angles 90.00, 90.00, 120.00 degrees
Fractional coordinates of all 11 atoms:
Ti  0.0425  0.5212  0.0000
Ti  0.4788  0.5212  0.0000
Ti  0.4788  0.9575  0.0000
H  0.3333  0.6667  0.1554
Cl  0.1677  0.3353  0.7654
Cl  0.1677  0.8323  0.7654
Cl  0.3346  0.1673  0.2076
Cl  0.6647  0.8323  0.7654
Cl  0.6667  0.3333  0.7907
Cl  0.8327  0.1673  0.2076
Cl  0.8327  0.6654  0.2076

Calculated values
Symmetry: P3m1
M_tot: 1.938 μB/cell
Calculated total energy: -55.04 eV/cell
D(E_F): 0.5 states/eV per cell

---

Record 7
Compound: Pm2BRu3
Source: Alexandria
Functional: PBE
Structure: relaxed

Cell lengths 7.4062, 7.4062, 7.4062 Å; angles 154.86, 140.80, 47.14 degrees
Fractional coordinates of all 6 atoms:
Pm  0.1809  0.1809  0.0000
Pm  0.8191  0.8191  0.0000
B  0.5000  0.5000  0.0000
Ru  0.0000  0.5000  0.5000
Ru  0.3970  0.8970  0.5000
Ru  0.6030  0.1030  0.5000

Calculated values
ΔE_f: 0.2080 eV/atom
Symmetry: Immm
M_tot: 0.728 μB/cell
D(E_F): 6.9 states/eV per cell

---

Record 8
Compound: CaMo2Br
Source: Alexandria
Functional: PBE
Structure: relaxed

Cell lengths 3.3462, 6.0028, 4.6178 Å; angles 90.00, 91.57, 90.00 degrees
Fractional coordinates of all 4 atoms:
Ca  0.0000  0.0000  0.0000
Mo  0.2667  0.5000  0.1824
Mo  0.7333  0.5000  0.8176
Br  0.5000  0.0000  0.5000

Calculated values
E above lowest polymorph: 340.1 meV/atom
ΔE_f (raw): 0.35 eV/atom
Symmetry: P2/m
M_tot: 0.000 μB/cell
D(E_F): 3.1 states/eV per cell

---

Record 9
Compound: LiAg2Cl
Source: Alexandria
Functional: PBE
Structure: relaxed

Cell lengths 8.7002, 8.7002, 8.7002 Å; angles 21.24, 21.24, 21.24 degrees
Fractional coordinates of all 4 atoms:
Li  0.0000  0.0000  0.0000
Ag  0.2489  0.2489  0.2489
Ag  0.7511  0.7511  0.7511
Cl  0.5000  0.5000  0.5000

Calculated values
E above lowest polymorph: 455.0 meV/atom
ΔE_f (raw): -0.12 eV/atom
Symmetry: R-3m
M_tot: 0.000 μB/cell
D(E_F): 1.7 states/eV per cell

---

Record 10
Compound: Ac2PrUSe6
Source: Alexandria
Functional: PBE
Structure: relaxed

Cell lengths 7.6829, 7.6896, 8.0301 Å; angles 61.40, 61.44, 60.08 degrees
Fractional coordinates of all 10 atoms:
Ac  0.0000  0.0000  0.0000
Ac  0.4957  0.4991  0.5070
Pr  0.2888  0.2932  0.1272
U  0.7922  0.7964  0.6190
Se  0.0742  0.4227  0.8318
Se  0.1670  0.9147  0.3336
Se  0.4210  0.6714  0.8311
Se  0.5837  0.1690  0.3344
Se  0.6690  0.0778  0.8321
Se  0.9117  0.5874  0.3336

Calculated values
ΔE_f (raw): -1.68 eV/atom
Symmetry: P1
M_tot: 3.029 μB/cell
D(E_F): 8.2 states/eV per cell

---

Record 11
Compound: FeSiHg2
Source: Alexandria
Functional: PBE
Structure: relaxed

Cell lengths 4.1179, 4.1664, 4.2842 Å; angles 90.00, 90.00, 90.00 degrees
Fractional coordinates of all 4 atoms:
Fe  0.0000  0.0000  0.0000
Si  0.5000  0.5000  0.0000
Hg  0.0000  0.5000  0.5000
Hg  0.5000  0.0000  0.5000

Calculated values
ΔE_f (raw): 0.61 eV/atom
Symmetry: Pmmm
M_tot: 2.996 μB/cell
D(E_F): 3.8 states/eV per cell

---

M_tot of number 7 (Pm2BRu3)? 0.728 μB/cell